A relaxed PmDyZr2 crystal, computed with PBE.

Computed properties:
- DFT formation energy (meV/atom) = 272.0
- density of states at the Fermi level (states/eV per atom) = 2.020
- energy relative to the lowest polymorph listed for this composition (eV/atom) = 0.115
- magnetic moment (μB per formula unit) = 0.00
- symmetry = R-3m

Unit cell a=5.285 b=5.285 c=5.430 alpha=60.88 beta=60.88 gamma=60.00
Element x y z (fractional)
Zr 0.769 0.769 0.694
Zr 0.231 0.231 0.306
Pm 0.500 0.500 0.500
Dy 0.000 0.000 0.000

A relaxed PmDyZr2 crystal, computed with PBE.

Computed properties:
- DFT formation energy (meV/atom) = 232.7
- density of states at the Fermi level (states/eV per atom) = 1.256
- energy relative to the lowest polymorph listed for this composition (eV/atom) = 0.076
- magnetic moment (μB per formula unit) = 0.00
- symmetry = P4/mmm

Unit cell a=3.961 b=3.961 c=6.934 alpha=90.00 beta=90.00 gamma=90.00
Element x y z (fractional)
Zr 0.000 0.000 0.275
Zr 0.000 0.000 0.725
Dy 0.500 0.500 0.500
Pm 0.500 0.500 0.000

A relaxed PmDyZr crystal, computed with PBE.

Computed properties:
- DFT formation energy (meV/atom) = 134.5
- density of states at the Fermi level (states/eV per atom) = 1.283
- energy relative to the lowest polymorph listed for this composition (eV/atom) = 0.058
- magnetic moment (μB per formula unit) = 0.00
- symmetry = P2_1/m

Unit cell a=4.900 b=3.385 c=10.573 alpha=99.31 beta=90.00 gamma=90.00
Element x y z (fractional)
Pm 0.847 0.948 0.311
Pm 0.347 0.042 0.512
Zr 0.347 0.208 0.841
Zr 0.847 0.782 0.983
Dy 0.347 0.363 0.142
Dy 0.847 0.627 0.681

A relaxed Pm14DyZr crystal, computed with PBE.

Computed properties:
- DFT formation energy (meV/atom) = 44.9
- density of states at the Fermi level (states/eV per atom) = 1.468
- magnetic moment (μB per formula unit) = 0.00
- symmetry = P4/mmm

Unit cell a=7.229 b=7.229 c=10.203 alpha=90.00 beta=90.00 gamma=89.99
Element x y z (fractional)
Pm 0.120 0.370 0.757
Pm 0.630 0.880 0.243
Pm 0.375 0.125 0.000
Pm 0.375 0.125 0.500
Pm 0.630 0.880 0.757
Pm 0.120 0.370 0.243
Pm 0.875 0.125 0.500
Pm 0.120 0.880 0.757
Pm 0.630 0.370 0.757
Pm 0.120 0.880 0.243
Pm 0.630 0.370 0.243
Pm 0.875 0.625 0.500
Pm 0.875 0.625 0.000
Pm 0.375 0.625 0.500
Zr 0.875 0.125 0.000
Dy 0.375 0.625 0.000

A relaxed PmDy2Zr crystal, computed with PBE.

Computed properties:
- DFT formation energy (meV/atom) = 106.4
- density of states at the Fermi level (states/eV per atom) = 1.166
- energy relative to the lowest polymorph listed for this composition (eV/atom) = 0.024
- magnetic moment (μB per formula unit) = 0.00
- symmetry = P4/mmm

Unit cell a=4.906 b=4.891 c=4.891 alpha=90.00 beta=90.00 gamma=90.00
Element x y z (fractional)
Pm 0.500 0.500 0.500
Zr 0.500 0.000 0.000
Dy 0.000 0.000 0.500
Dy 0.000 0.500 0.000

A relaxed Pm6Dy8Zr crystal, computed with PBE.

Computed properties:
- DFT formation energy (meV/atom) = 127.6
- density of states at the Fermi level (states/eV per atom) = 1.382
- magnetic moment (μB per formula unit) = 0.00
- symmetry = R-3

Unit cell a=8.620 b=8.620 c=8.620 alpha=63.52 beta=63.52 gamma=63.52
Element x y z (fractional)
Dy 0.279 0.247 0.889
Dy 0.721 0.753 0.111
Dy 0.577 0.577 0.577
Dy 0.889 0.279 0.247
Dy 0.111 0.721 0.753
Dy 0.247 0.889 0.279
Dy 0.753 0.111 0.721
Dy 0.423 0.423 0.423
Pm 0.894 0.457 0.776
Pm 0.543 0.224 0.106
Pm 0.224 0.106 0.543
Pm 0.457 0.776 0.894
Pm 0.106 0.543 0.224
Pm 0.776 0.894 0.457
Zr 0.000 0.000 0.000